Here is Mg30ZnCoO32 after structural relaxation from the Alexandria database. Energies are from PBE+U.

Computed properties:
- Raw total energy: -5.936 eV per atom

a = 8.5140 Å, b = 8.5140 Å, c = 8.5297 Å
α = 90.00°, β = 90.00°, γ = 90.00°
With the nearest neighbours (Å) after each atom.
Sites, in units of the cell vectors:
Mg  0.0000  0.0000  0.0000  6 O 2.13-2.14
Mg  0.0000  0.0000  0.5000  6 O 2.13
Mg  0.0000  0.2503  0.2498  6 O 2.13
Mg  0.0000  0.2503  0.7502  6 O 2.13
Mg  0.0000  0.5000  0.0000  6 O 2.09-2.14
Mg  0.0000  0.5000  0.5000  6 O 2.12-2.13
Mg  0.0000  0.7497  0.2498  6 O 2.13
Mg  0.0000  0.7497  0.7502  6 O 2.13
Mg  0.2503  0.0000  0.2498  6 O 2.13
Mg  0.2503  0.0000  0.7502  6 O 2.13
Mg  0.2502  0.2502  0.0000  6 O 2.13
Mg  0.2500  0.2500  0.5000  6 O 2.13
Mg  0.2502  0.7498  0.0000  6 O 2.13
Mg  0.2500  0.7500  0.5000  6 O 2.13
Mg  0.2510  0.5000  0.2498  6 O 2.12-2.14
Mg  0.2510  0.5000  0.7502  6 O 2.12-2.14
Mg  0.5000  0.0000  0.0000  6 O 2.09-2.14
Mg  0.5000  0.0000  0.5000  6 O 2.12-2.13
Mg  0.5000  0.2510  0.2498  6 O 2.12-2.14
Mg  0.5000  0.2510  0.7502  6 O 2.12-2.14
Mg  0.5000  0.7490  0.2498  6 O 2.12-2.14
Mg  0.5000  0.7490  0.7502  6 O 2.12-2.14
Mg  0.7490  0.5000  0.2498  6 O 2.12-2.14
Mg  0.7490  0.5000  0.7502  6 O 2.12-2.14
Mg  0.7497  0.0000  0.2498  6 O 2.13
Mg  0.7497  0.0000  0.7502  6 O 2.13
Mg  0.7498  0.2502  0.0000  6 O 2.13
Mg  0.7500  0.2500  0.5000  6 O 2.13
Mg  0.7498  0.7498  0.0000  6 O 2.13
Mg  0.7500  0.7500  0.5000  6 O 2.13
Zn  0.5000  0.5000  0.0000  6 O 2.10-2.17
Co  0.5000  0.5000  0.5000  6 O 2.13-2.16
O  0.0000  0.0000  0.2504  6 Mg 2.13-2.14
O  0.0000  0.0000  0.7496  6 Mg 2.13-2.14
O  0.0000  0.2496  0.0000  6 Mg 2.13
O  0.0000  0.2502  0.5000  6 Mg 2.13
O  0.0000  0.5000  0.2509  6 Mg 2.12-2.14
O  0.0000  0.5000  0.7491  6 Mg 2.12-2.14
O  0.0000  0.7504  0.0000  6 Mg 2.13
O  0.0000  0.7498  0.5000  6 Mg 2.13
O  0.2453  0.5000  0.0000  5 Mg 2.09-2.13, 1 Zn 2.17
O  0.2496  0.0000  0.0000  6 Mg 2.13
O  0.2502  0.0000  0.5000  6 Mg 2.13
O  0.2503  0.2503  0.2502  6 Mg 2.13
O  0.2503  0.2503  0.7498  6 Mg 2.13
O  0.2497  0.5000  0.5000  5 Mg 2.13, 1 Co 2.13
O  0.2503  0.7497  0.2502  6 Mg 2.13
O  0.2503  0.7497  0.7498  6 Mg 2.13
O  0.5000  0.0000  0.2509  6 Mg 2.12-2.14
O  0.5000  0.0000  0.7491  6 Mg 2.12-2.14
O  0.5000  0.2453  0.0000  5 Mg 2.09-2.13, 1 Zn 2.17
O  0.5000  0.2497  0.5000  5 Mg 2.13, 1 Co 2.13
O  0.5000  0.5000  0.2464  1 Zn 2.10, 4 Mg 2.12, 1 Co 2.16
O  0.5000  0.5000  0.7536  1 Zn 2.10, 4 Mg 2.12, 1 Co 2.16
O  0.5000  0.7503  0.5000  5 Mg 2.13, 1 Co 2.13
O  0.5000  0.7547  0.0000  5 Mg 2.09-2.13, 1 Zn 2.17
O  0.7504  0.0000  0.0000  6 Mg 2.13
O  0.7498  0.0000  0.5000  6 Mg 2.13
O  0.7497  0.2503  0.2502  6 Mg 2.13
O  0.7497  0.2503  0.7498  6 Mg 2.13
O  0.7503  0.5000  0.5000  5 Mg 2.13, 1 Co 2.13
O  0.7497  0.7497  0.2502  6 Mg 2.13
O  0.7497  0.7497  0.7498  6 Mg 2.13
O  0.7547  0.5000  0.0000  5 Mg 2.09-2.13, 1 Zn 2.17